[1]
5
Lattice="3.823 0.000 0.000 0.000 3.823 0.000 0.000 0.000 3.823" Properties=species:S:1:pos:R:3 comment="PBE MnBe3Ru, relaxed" density_g_cm3=5.4 delta_e_f_ev_per_atom=0.942 energy_ev_per_cell=-24.9 pbc="T T T"
Mn 0.000 0.000 0.000
Be 0.000 0.000 1.912
Be 0.000 1.912 0.000
Be 1.912 0.000 0.000
Ru 1.912 1.912 1.912


[2]
8
Lattice="2.826 0.000 0.000 0.000 3.774 0.000 0.000 0.000 8.103" Properties=species:S:1:pos:R:3 comment="PBE Mn2BeRu, relaxed" density_g_cm3=8.5 delta_e_f_ev_per_atom=-0.099 energy_ev_per_cell=-63.5 pbc="T T T"
Mn 0.000 0.000 1.967
Mn 0.000 0.000 6.136
Mn 1.413 1.887 2.085
Mn 1.413 1.887 6.019
Be 0.000 1.887 4.052
Be 1.413 0.000 0.000
Ru 0.000 1.887 0.000
Ru 1.413 0.000 4.052


[3]
5
Lattice="4.116 0.000 0.000 0.000 4.116 0.000 0.000 0.000 4.116" Properties=species:S:1:pos:R:3 comment="PBE MnBe3Ru, relaxed" density_g_cm3=4.4 delta_e_f_ev_per_atom=0.608 energy_ev_per_cell=-26.6 pbc="T T T"
Mn 0.000 0.000 0.000
Be 0.000 2.058 2.058
Be 2.058 0.000 2.058
Be 2.058 2.058 0.000
Ru 2.058 2.058 2.058


[4]
10
Lattice="3.853 0.000 0.000 0.000 3.853 0.000 0.000 0.000 9.442" Properties=species:S:1:pos:R:3 comment="PBE Mn2BeRu2, relaxed" density_g_cm3=7.6 delta_e_f_ev_per_atom=0.551 energy_ev_per_cell=-75.7 pbc="T T T"
Mn 0.000 0.000 0.975
Mn 0.000 0.000 8.466
Mn 1.927 1.927 3.746
Mn 1.927 1.927 5.696
Be 0.000 0.000 4.721
Be 1.927 1.927 0.000
Ru 0.000 1.927 2.360
Ru 0.000 1.927 7.081
Ru 1.927 0.000 2.360
Ru 1.927 0.000 7.081


[5]
12
Lattice="2.575 0.000 0.000 -1.288 2.230 0.000 0.000 0.000 23.963" Properties=species:S:1:pos:R:3 comment="PBE Mn2BeRu, relaxed" density_g_cm3=8.0 delta_e_f_ev_per_atom=0.173 energy_ev_per_cell=-91.9 pbc="T T T"
Mn 0.000 0.000 5.879
Mn 0.000 0.000 18.084
Mn 0.000 1.487 10.096
Mn 0.000 1.487 21.855
Mn 1.288 0.743 2.109
Mn 1.288 0.743 13.867
Be 0.000 0.000 11.982
Be 0.000 1.487 3.994
Be 1.288 0.743 19.969
Ru 0.000 0.000 0.000
Ru 0.000 1.487 15.975
Ru 1.288 0.743 7.988


[6]
12
Lattice="2.659 0.000 0.000 -1.330 2.303 0.000 0.000 0.000 23.896" Properties=species:S:1:pos:R:3 comment="PBE MnBeRu2, relaxed" density_g_cm3=9.1 delta_e_f_ev_per_atom=0.053 energy_ev_per_cell=-93.7 pbc="T T T"
Mn 0.000 0.000 0.000
Mn 0.000 1.535 15.931
Mn 1.330 0.768 7.965
Be 0.000 0.000 11.948
Be 0.000 1.535 3.983
Be 1.330 0.768 19.913
Ru 0.000 0.000 5.901
Ru 0.000 0.000 17.995
Ru 0.000 1.535 10.030
Ru 0.000 1.535 21.832
Ru 1.330 0.768 2.064
Ru 1.330 0.768 13.867


[7]
4
Lattice="2.745 0.000 0.000 0.000 2.745 0.000 0.000 0.000 6.156" Properties=species:S:1:pos:R:3 comment="PBE MnBeRu2, relaxed" density_g_cm3=9.5 delta_e_f_ev_per_atom=-0.024 energy_ev_per_cell=-31.5 pbc="T T T"
Mn 0.000 0.000 0.000
Be 1.372 1.372 4.891
Ru 0.000 0.000 3.519
Ru 1.372 1.372 1.586


[8]
3
Lattice="3.850 0.000 0.000 -1.925 3.334 0.000 0.000 0.000 2.594" Properties=species:S:1:pos:R:3 comment="PBE MnBeRu, relaxed" density_g_cm3=8.2 delta_e_f_ev_per_atom=0.001 energy_ev_per_cell=-22.2 pbc="T T T"
Mn 0.000 0.000 0.000
Be 0.000 2.223 1.985
Ru 1.925 1.111 1.038